## Nd2Dy6Mg (GGA-PBE)

Data for a relaxed structure of Nd2Dy6Mg.

Lattice parameters (Å, degrees): 6.5218 14.5158 6.5218 74.28 91.09 74.28
Last column: nearest neighbours and their distance in Å.
Element x y z (fractional)
Dy1 0.3698 0.9608 0.2130  6 Dy 3.28-3.54, 1 Mg 3.29, 2 Nd 3.49-3.63
Dy2 0.9207 0.1411 0.0523  6 Dy 3.26-3.54, 2 Nd 3.41-3.45, 1 Mg 3.42
Dy3 0.6302 0.0392 0.7870  6 Dy 3.28-3.54, 1 Mg 3.29, 2 Nd 3.49-3.63
Dy4 0.2130 0.4608 0.3698  6 Dy 3.28-3.54, 1 Mg 3.29, 2 Nd 3.49-3.63
Dy5 0.0793 0.8589 0.9477  6 Dy 3.26-3.54, 2 Nd 3.41-3.45, 1 Mg 3.42
Dy6 0.9477 0.3589 0.0793  6 Dy 3.26-3.54, 2 Nd 3.41-3.45, 1 Mg 3.42
Dy7 0.8914 0.9250 0.4094  1 Mg 3.32, 7 Dy 3.34-3.54, 2 Nd 3.49-3.55
Dy8 0.4094 0.4250 0.8914  1 Mg 3.32, 7 Dy 3.34-3.54, 2 Nd 3.49-3.55
Dy9 0.5906 0.5750 0.1086  1 Mg 3.32, 7 Dy 3.34-3.54, 2 Nd 3.49-3.55
Dy10 0.1086 0.0750 0.5906  1 Mg 3.32, 7 Dy 3.34-3.54, 2 Nd 3.49-3.55
Dy11 0.7870 0.5392 0.6302  6 Dy 3.28-3.54, 1 Mg 3.29, 2 Nd 3.49-3.63
Dy12 0.0523 0.6411 0.9207  6 Dy 3.26-3.54, 2 Nd 3.41-3.45, 1 Mg 3.42
Nd1 0.5610 0.8070 0.7314  2 Mg 3.41-3.56, 6 Dy 3.41-3.63, 1 Nd 3.65
Nd2 0.2686 0.6930 0.4390  2 Mg 3.41-3.56, 6 Dy 3.41-3.63, 1 Nd 3.65
Nd3 0.4390 0.1930 0.2686  2 Mg 3.41-3.56, 6 Dy 3.41-3.63, 1 Nd 3.65
Nd4 0.7314 0.3070 0.5610  2 Mg 3.41-3.56, 6 Dy 3.41-3.63, 1 Nd 3.65
Mg1 0.2569 0.2500 0.7431  6 Dy 3.29-3.42, 4 Nd 3.41-3.56
Mg2 0.7431 0.7500 0.2569  6 Dy 3.29-3.42, 4 Nd 3.41-3.56

Computed properties:
Formation energy from the elements = 0.079 eV/atom
Offset from the most stable computed form = 5.37 kJ/mol of atoms
DOS(E_F) = 25.4 states/eV/cell
DFT total energy = -4.226 eV/atom